VASP calculation (GGA+U) on V2CuHgO6 after structural relaxation.

The structure in CIF format:
```
data_V2CuHgO6
_chemical_formula_sum 'V8 Cu4 Hg4 O24'
_space_group_name_H-M_alt 'C 1 2/c 1'
_space_group_IT_number 15
_space_group_name_Hall '-C 2yc'
_cell_length_a 11.393
_cell_length_b 10.208
_cell_length_c 5.830
_cell_angle_alpha 90.00
_cell_angle_beta 110.69
_cell_angle_gamma 90.00
loop_
_atom_site_label
_atom_site_type_symbol
_atom_site_fract_x
_atom_site_fract_y
_atom_site_fract_z
V1 V 0.186 0.101 0.179
Cu1 Cu 0.000 0.320 0.750
Hg1 Hg 0.000 0.421 0.250
O1 O 0.078 0.222 0.086
O2 O 0.166 0.009 0.428
O3 O 0.167 0.335 0.724
```

DFT total energy = -250.0 eV/cell
magnetization = 0.35 μB/f.u.
DOS at the Fermi energy = 2.7 states/eV/f.u.
crystal system = monoclinic